# 1
The following is a DFT calculation (PBE-GGA) of a geometry-optimized LiAl2Zn structure.

It has space group R3m (No. 160, hexagonal axes), with a = 2.9044 Å, b = 2.9044 Å, c = 26.5430 Å, α = 90.00°, β = 90.00° and γ = 120.00°. The asymmetric unit holds Li at (0.0000, 0.0000, 0.0000), Al at (0.0000, 0.0000, 0.2499), Al at (0.0000, 0.0000, 0.4974) and Zn at (0.0000, 0.0000, 0.7494).

---

# 2
The following is a DFT calculation (PBE-GGA) of a geometry-optimized LiAl2Zn structure.

It has space group Pmmm (No. 47), with a = 2.910 Å, b = 3.972 Å, c = 5.521 Å, α = 90.00°, β = 90.00° and γ = 90.00°. The asymmetric unit holds Li at (0.000, 0.000, 0.000), Al at (0.500, 0.500, 0.251) and Zn at (0.000, 0.000, 0.500).

---

# 3
The following is a DFT calculation (PBE-GGA) of a geometry-optimized Li2Al2Zn15 structure.

It has space group R-3m (No. 166, hexagonal axes), with a = 8.9891 Å, b = 8.9891 Å, c = 13.1190 Å, α = 90.00°, β = 90.00° and γ = 120.00°. The asymmetric unit holds Li at (0.0000, 0.0000, 0.1463), Al at (0.0000, 0.0000, 0.3981), Zn at (0.0000, 0.3175, 0.5000), Zn at (0.0000, 0.5000, 0.0000) and Zn at (0.0077, 0.5039, 0.6577).

---

# 4
The following is a DFT calculation (PBE-GGA) of a geometry-optimized Li3Al3Zn5 structure.

It has space group P-62m (No. 189), with a = 7.5941 Å, b = 7.5941 Å, c = 4.9694 Å, α = 90.00°, β = 90.00° and γ = 120.00°. The asymmetric unit holds Li at (0.0000, 0.5251, 0.0000), Al at (0.0000, 0.3055, 0.5000), Zn at (0.0000, 0.6599, 0.5000) and Zn at (0.3333, 0.6667, 0.5000).

---

Number 1: Fermi-level density of states 3.61 states/eV/f.u., energy relative to the elements -13.4 kJ/mol of formula units. Number 2: Fermi-level density of states 0.70 states/eV/f.u., energy relative to the elements -26.1 kJ/mol of formula units. Number 3: Fermi-level density of states 6.41 states/eV/f.u., energy relative to the elements -59.7 kJ/mol of formula units. Number 4: Fermi-level density of states 7.27 states/eV/f.u., energy relative to the elements 199.8 kJ/mol of formula units.